<i>
Material: Ho2ErBe
Method: DFT, GGA-PBE
State: relaxed

Geometry as POSCAR:
```
Ho2ErBe
1.0
-3.325 0.840 0.330
0.162 -0.683 3.373
2.185 8.047 1.525
Be Ho Er
1 2 1
Cartesian
-1.582 0.078 1.852
1.759 6.481 1.228
0.425 1.566 0.297
-0.489 4.102 2.614
```

Calculated values
Symmetry: P4/mmm
Fermi-level density of states (states/eV per cell): 4.236

=====

<ii>
Material: Ho2ErBe
Method: DFT, GGA-PBE
State: relaxed

Geometry as POSCAR:
```
Ho2ErBe
1.0
-2.376 1.167 2.129
-3.252 -0.875 -0.441
-0.348 -8.933 7.218
Be Ho Er
1 2 1
Cartesian
0.000 0.000 0.000
-0.736 -6.643 5.530
-5.241 -1.999 3.376
-2.988 -4.321 4.453
```

Calculated values
Symmetry: R-3m
Fermi-level density of states (states/eV per cell): 3.555

=====

<i> (609 meV/atom below the next structure)

=====

<i>
Material: Er2BeIn
Method: DFT, GGA-PBE
State: relaxed

Geometry as POSCAR:
```
Er2BeIn
1.0
3.487 0.000 0.000
0.000 3.487 0.000
0.000 0.000 7.377
Be In Er
1 1 2
Cartesian
1.743 1.743 0.000
1.743 1.743 3.688
0.000 0.000 5.767
0.000 0.000 1.610
```

Calculated values
Symmetry: P4/mmm
Fermi-level density of states (states/eV per cell): 1.819

=====

<ii>
Material: Er2BeIn
Method: DFT, GGA-PBE
State: relaxed

Geometry as POSCAR:
```
Er2BeIn
1.0
5.066 0.000 0.000
2.533 4.387 0.000
2.533 1.462 4.136
Be In Er
1 1 2
Cartesian
5.066 2.925 2.068
0.000 0.000 0.000
2.533 1.462 1.034
7.599 4.387 3.102
```

Calculated values
Symmetry: Fm-3m
Fermi-level density of states (states/eV per cell): 3.408

=====

<i> (77 meV/atom below the next structure)

=====

<i>
Material: ErBeIn
Method: DFT, GGA-PBE
State: relaxed

Geometry as POSCAR:
```
ErBeIn
1.0
4.478 0.000 0.000
2.239 3.878 0.000
2.239 1.293 3.656
Be In Er
1 1 1
Cartesian
2.239 1.293 0.914
0.000 0.000 0.000
4.478 2.585 1.828
```

Calculated values
Symmetry: F-43m
Fermi-level density of states (states/eV per cell): 0.890

=====

<ii>
Material: ErBeIn
Method: DFT, GGA-PBE
State: relaxed

Geometry as POSCAR:
```
ErBeIn
1.0
3.430 0.000 0.000
0.000 5.563 -1.290
0.000 -4.027 7.973
Be Er In
2 2 2
Cartesian
0.000 0.829 3.784
0.000 2.804 3.326
0.000 -0.475 6.312
1.715 1.371 1.632
1.715 2.200 5.213
0.000 -1.323 2.652
```

Calculated values
Symmetry: Pm
Fermi-level density of states (states/eV per cell): 3.470

=====

<i> (260 meV/atom below the next structure)

=====

<i>
Material: ErBeIr
Method: DFT, GGA-PBE
State: relaxed

Geometry as POSCAR:
```
ErBeIr
1.0
-3.375 -1.867 -0.804
1.403 -1.030 -3.499
0.552 -2.329 3.090
Be Ir Er
1 1 1
Cartesian
0.558 -1.774 -1.437
-0.563 -0.311 -0.134
-1.414 -3.141 0.357
```

Calculated values
Symmetry: P-6m2
Fermi-level density of states (states/eV per cell): 1.028

=====

<ii>
Material: ErBeIr
Method: DFT, GGA-PBE
State: relaxed

Geometry as POSCAR:
```
ErBeIr
1.0
-6.329 -1.393 -0.620
1.183 -6.156 1.756
-0.815 1.352 5.289
Be Ir Er
4 4 4
Cartesian
-2.092 -3.069 0.462
-3.461 -3.803 3.319
0.277 -5.373 2.856
-6.238 -0.824 3.569
-4.396 -1.992 4.152
-4.724 -5.655 3.597
-0.830 -1.217 0.183
-1.566 -4.204 2.273
-4.898 -2.091 1.219
-3.693 -5.416 0.815
-1.861 -1.456 2.965
-1.063 -4.105 5.206
```

Calculated values
Symmetry: P4_12_12
Fermi-level density of states (states/eV per cell): 4.694

=====

<i> (386 meV/atom below the next structure)

=====

<i>
Material: LiEr4Be4Si2O14
Method: DFT, GGA-PBE
State: relaxed

Geometry as POSCAR:
```
LiEr4Be4Si2O14
1.0
-0.130 -4.233 -6.158
3.432 5.212 -4.113
4.411 -1.852 0.873
Li Er Be Si O
1 4 4 2 14
Cartesian
3.006 -0.872 -1.207
4.563 -0.347 -6.344
3.674 -0.624 -3.515
2.450 -3.615 -5.127
4.861 2.779 -3.743
4.684 -1.671 -0.441
7.072 -0.930 -8.019
2.380 1.747 -4.909
1.377 -0.913 -5.485
1.732 2.512 -2.070
0.009 -2.058 -3.059
2.513 0.177 -5.192
6.798 -0.490 -9.574
1.477 -0.421 -0.627
4.038 0.292 -8.381
5.389 0.595 -4.317
4.316 -2.251 -4.934
2.825 1.941 -3.201
2.151 -1.849 -6.680
5.721 -1.961 -7.703
6.654 0.515 -7.167
4.734 -0.160 -1.314
3.884 -2.414 -1.803
3.727 2.330 -5.775
1.358 -1.950 -4.043
```

Calculated values
Symmetry: Cm
Fermi-level density of states (states/eV per cell): 2.053

=====

<ii>
Material: LiEr4Be4Si2O14
Method: DFT, GGA-PBE
State: relaxed

Geometry as POSCAR:
```
LiEr4Be4Si2O14
1.0
2.548 -6.881 0.125
6.718 2.344 -1.795
1.103 0.483 4.714
Li Er Be Si O
1 4 4 2 14
Cartesian
6.140 -3.002 -1.088
3.741 -1.311 1.827
6.659 -2.742 1.291
6.629 1.106 0.792
3.775 -5.206 2.106
9.174 -3.504 3.091
2.356 -0.174 4.280
4.000 -3.507 -0.382
5.174 -0.912 -0.922
3.351 1.167 -0.887
1.274 -3.428 0.070
4.786 -2.166 -0.009
0.939 0.368 3.810
8.406 -3.814 -0.065
1.670 -0.523 1.114
4.767 -3.237 2.784
5.970 -0.574 2.230
5.119 -4.677 0.263
4.537 0.373 -0.069
3.385 0.597 3.164
2.321 -1.758 3.654
7.689 -4.323 2.759
8.719 -2.045 2.285
2.770 -3.536 0.745
6.871 -0.802 -0.544
```

Calculated values
Symmetry: Cm
Fermi-level density of states (states/eV per cell): 1.268

=====

<ii> (36 meV/atom below the next structure)

=====

<i>
Material: Er2LuBe
Method: DFT, GGA-PBE
State: relaxed

Geometry as POSCAR:
```
Er2LuBe
1.0
3.425 0.000 0.000
0.000 3.425 0.000
0.000 0.000 8.412
Be Lu Er
1 1 2
Cartesian
1.713 1.713 0.000
1.713 1.713 4.206
0.000 0.000 6.774
0.000 0.000 1.638
```

Calculated values
Symmetry: P4/mmm
Fermi-level density of states (states/eV per cell): 3.387

=====

<ii>
Material: Er2LuBe
Method: DFT, GGA-PBE
State: relaxed

Geometry as POSCAR:
```
Er2LuBe
1.0
3.368 0.000 0.000
1.684 2.917 0.000
1.684 0.972 11.242
Be Lu Er
1 1 2
Cartesian
0.000 0.000 0.000
3.368 1.945 5.621
1.684 0.972 8.380
5.052 2.917 2.862
```

Calculated values
Symmetry: R-3m
Fermi-level density of states (states/eV per cell): 3.405

=====

<i> (610 meV/atom below the next structure)

=====

<i>
Material: Er2MgBe
Method: DFT, GGA-PBE
State: relaxed

Geometry as POSCAR:
```
Er2MgBe
1.0
-1.148 -3.016 -1.735
4.507 -0.523 -2.074
1.459 -2.784 3.874
Be Mg Er
1 1 2
Cartesian
-0.574 -1.508 -0.867
2.409 -3.161 0.032
0.730 -1.392 1.937
2.253 -0.262 -1.037
```

Calculated values
Symmetry: P4/mmm
Fermi-level density of states (states/eV per cell): 3.858

=====

<ii>
Material: Er2MgBe
Method: DFT, GGA-PBE
State: relaxed

Geometry as POSCAR:
```
Er2MgBe
1.0
5.047 0.000 0.000
2.523 4.371 0.000
2.523 1.457 4.121
Be Mg Er
1 1 2
Cartesian
0.000 0.000 0.000
5.047 2.914 2.060
2.523 1.457 1.030
7.570 4.371 3.091
```

Calculated values
Symmetry: Fm-3m
Fermi-level density of states (states/eV per cell): 4.005

=====

<iii>
Material: Er2MgBe
Method: DFT, GGA-PBE
State: relaxed

Geometry as POSCAR:
```
Er2MgBe
1.0
3.292 0.000 0.000
1.646 2.851 0.000
1.646 0.950 11.118
Be Mg Er
1 1 2
Cartesian
0.000 0.000 0.000
3.292 1.900 5.559
1.646 0.950 8.229
4.937 2.851 2.888
```

Calculated values
Symmetry: R-3m
Fermi-level density of states (states/eV per cell): 4.163

=====

<iv>
Material: Er2MgBe
Method: DFT, GGA-PBE
State: relaxed

Geometry as POSCAR:
```
Er2MgBe
1.0
3.405 0.000 0.000
0.000 3.405 0.000
0.000 0.000 7.922
Be Mg Er
1 1 2
Cartesian
1.702 1.702 0.000
1.702 1.702 3.961
0.000 0.000 6.294
0.000 0.000 1.627
```

Calculated values
Symmetry: P4/mmm
Fermi-level density of states (states/eV per cell): 3.913

=====

<iv> (92 meV/atom below the next structure)

=====

<i>
Material: NdEr2Be
Method: DFT, GGA-PBE
State: relaxed

Geometry as POSCAR:
```
NdEr2Be
1.0
3.441 0.000 0.000
0.000 3.441 0.000
0.000 0.000 8.760
Be Nd Er
1 1 2
Cartesian
1.720 1.720 0.000
1.720 1.720 4.380
0.000 0.000 7.118
0.000 0.000 1.642
```

Calculated values
Symmetry: P4/mmm
Fermi-level density of states (states/eV per cell): 4.134

=====

<ii>
Material: NdEr2Be
Method: DFT, GGA-PBE
State: relaxed

Geometry as POSCAR:
```
NdEr2Be
1.0
-2.026 -2.699 0.734
-1.035 -2.119 -2.524
7.752 -7.764 0.977
Be Nd Er
1 1 2
Cartesian
2.345 -6.292 -0.407
0.000 0.000 0.000
4.919 -5.776 0.469
-0.228 -6.807 -1.282
```

Calculated values
Symmetry: R-3m
Fermi-level density of states (states/eV per cell): 4.225

=====

<i> (278 meV/atom below the next structure)

=====

<i>
Material: ErBeNi2
Method: DFT, GGA-PBE
State: relaxed

Geometry as POSCAR:
```
ErBeNi2
1.0
3.546 0.000 0.030
0.000 5.118 0.000
-0.028 -2.559 3.278
Er Be Ni
1 1 2
Cartesian
1.773 2.559 0.015
1.773 0.000 0.015
-0.018 2.559 2.093
3.536 0.000 1.215
```

Calculated values
Symmetry: Cmmm
Fermi-level density of states (states/eV per cell): 2.739

=====

<ii>
Material: ErBeNi2
Method: DFT, GGA-PBE
State: relaxed

Geometry as POSCAR:
```
ErBeNi2
1.0
3.846 0.000 0.000
1.923 3.330 0.000
1.923 1.110 4.614
Ni Be Er
2 1 1
Cartesian
5.768 3.330 2.785
1.923 1.110 1.829
3.846 2.220 2.307
0.000 0.000 0.000
```

Calculated values
Symmetry: R-3m
Fermi-level density of states (states/eV per cell): 1.991

=====

<ii> (355 meV/atom below the next structure)

=====

<i>
Material: Er2BeOs
Method: DFT, GGA-PBE
State: relaxed

Geometry as POSCAR:
```
Er2BeOs
1.0
3.411 0.000 0.000
0.000 3.411 0.000
0.000 0.000 6.699
Be Os Er
1 1 2
Cartesian
1.706 1.706 3.349
1.706 1.706 0.000
0.000 0.000 5.060
0.000 0.000 1.639
```

Calculated values
Symmetry: P4/mmm
Fermi-level density of states (states/eV per cell): 3.141

=====

<ii>
Material: Er2BeOs
Method: DFT, GGA-PBE
State: relaxed

Geometry as POSCAR:
```
Er2BeOs
1.0
4.783 0.000 0.000
2.392 4.142 0.000
2.392 1.381 3.905
Be Os Er
1 1 2
Cartesian
4.783 2.761 1.953
0.000 0.000 0.000
2.392 1.381 0.976
7.175 4.142 2.929
```

Calculated values
Symmetry: Fm-3m
Fermi-level density of states (states/eV per cell): 3.148

=====

<iii>
Material: Er2BeOs
Method: DFT, GGA-PBE
State: relaxed

Geometry as POSCAR:
```
Er2BeOs
1.0
-3.156 0.137 -0.811
-1.204 -2.062 -2.222
-3.605 -7.213 6.251
Be Os Er
1 1 2
Cartesian
0.000 0.000 0.000
-3.983 -4.569 1.609
-2.977 -5.296 4.132
-4.988 -3.842 -0.914
```

Calculated values
Symmetry: R-3m
Fermi-level density of states (states/eV per cell): 3.341

=====

<ii> (29 meV/atom below the next structure)

=====

<i>
Material: Er2BePd
Method: DFT, GGA-PBE
State: relaxed

Geometry as POSCAR:
```
Er2BePd
1.0
-0.946 2.923 -1.565
-3.315 -0.812 0.487
0.086 3.219 5.961
Be Pd Er
1 1 2
Cartesian
-2.131 1.055 -0.539
-2.087 2.665 2.441
0.065 2.436 4.510
0.021 0.783 1.450
```

Calculated values
Symmetry: P4/mmm
Fermi-level density of states (states/eV per cell): 1.778

=====

<ii>
Material: Er2BePd
Method: DFT, GGA-PBE
State: relaxed

Geometry as POSCAR:
```
Er2BePd
1.0
4.870 0.000 0.000
2.435 4.218 0.000
2.435 1.406 3.976
Be Pd Er
1 1 2
Cartesian
0.000 0.000 0.000
4.870 2.812 1.988
2.435 1.406 0.994
7.305 4.218 2.982
```

Calculated values
Symmetry: Fm-3m
Fermi-level density of states (states/eV per cell): 2.406

=====

<i> (47 meV/atom below the next structure)

=====

<i>
Material: ErBePd2
Method: DFT, GGA-PBE
State: relaxed

Geometry as POSCAR:
```
ErBePd2
1.0
4.112 0.000 0.000
2.056 3.561 0.000
2.056 1.187 4.734
Be Pd Er
1 2 1
Cartesian
0.000 0.000 0.000
6.168 3.561 4.072
2.056 1.187 0.661
4.112 2.374 2.367
```

Calculated values
Symmetry: R-3m
Fermi-level density of states (states/eV per cell): 1.830

=====

<ii>
Material: ErBePd2
Method: DFT, GGA-PBE
State: relaxed

Geometry as POSCAR:
```
ErBePd2
1.0
3.878 0.000 0.000
0.000 3.971 -0.969
0.000 0.047 8.814
Er Be Pd
2 2 4
Cartesian
0.000 3.431 5.435
0.000 0.588 2.409
1.939 2.272 0.689
1.939 1.747 7.156
0.000 1.986 -0.485
1.939 0.000 0.000
1.939 2.797 2.839
1.939 1.222 5.006
```

Calculated values
Symmetry: Cmmm
Fermi-level density of states (states/eV per cell): 2.943

=====

<ii> (87 meV/atom below the next structure)